Run i
A plane-wave DFT calculation with PBE was carried out for a relaxed CdSn2Pd8 crystal.

- space-group type = No. 71
- magnetic moment (μB per cell) = 0.00

a = 4.203 Å, b = 7.260 Å, c = 7.485 Å
α = 119.01°, β = 106.31°, γ = 90.00°
Positions (direct):
Sn 0.818 0.318 0.637
Sn 0.182 0.682 0.363
Pd 0.662 0.431 0.324
Pd 0.154 0.154 0.308
Pd 0.000 0.710 0.000
Pd 0.338 0.107 0.676
Pd 0.846 0.846 0.692
Pd 0.662 0.893 0.324
Pd 0.000 0.290 0.000
Pd 0.338 0.569 0.676
Cd 0.500 0.000 0.000

Run ii
A plane-wave DFT calculation with PBE was carried out for a relaxed CdSn2Pd8 crystal.

- space-group type = No. 12
- magnetic moment (μB per cell) = 0.00

a = 4.134 Å, b = 6.503 Å, c = 7.544 Å
α = 108.25°, β = 105.90°, γ = 90.00°
Positions (direct):
Pd 0.150 0.215 0.301
Pd 0.406 0.537 0.812
Pd 0.594 0.463 0.188
Pd 0.963 0.271 0.926
Pd 0.037 0.729 0.074
Pd 0.850 0.785 0.699
Pd 0.676 0.919 0.351
Pd 0.324 0.081 0.649
Cd 0.500 0.000 0.000
Sn 0.787 0.334 0.574
Sn 0.213 0.666 0.426

Stability ranking, top entry: run i; the second entry is 1.5 kJ/mol of atoms less favorable.

Run i
A plane-wave DFT calculation with PBE was carried out for a relaxed CdSn2Pd4 crystal.

- space-group type = No. 1
- magnetic moment (μB per cell) = 0.00

a = 5.980 Å, b = 7.138 Å, c = 7.205 Å
α = 112.24°, β = 104.02°, γ = 104.49°
Positions (direct):
Pd 0.356 0.004 0.344
Pd 0.888 0.592 0.118
Pd 0.817 0.612 0.521
Pd 0.742 0.129 0.793
Pd 0.525 0.809 0.978
Pd 0.355 0.516 0.157
Pd 0.055 0.275 0.350
Pd 0.219 0.113 0.736
Sn 0.783 0.919 0.391
Sn 0.532 0.415 0.683
Sn 0.070 0.469 0.781
Sn 0.582 0.235 0.139
Cd 0.010 0.927 0.966
Cd 0.316 0.736 0.545

Run ii
A plane-wave DFT calculation with PBE was carried out for a relaxed CdSn2Pd4 crystal.

- space-group type = No. 139
- magnetic moment (μB per cell) = 0.00

a = 4.939 Å, b = 4.939 Å, c = 7.573 Å
α = 70.97°, β = 70.97°, γ = 90.00°
Positions (direct):
Sn 0.614 0.614 0.773
Sn 0.386 0.386 0.227
Cd 0.000 0.000 0.000
Pd 0.197 0.197 0.605
Pd 0.803 0.803 0.395
Pd 0.000 0.500 0.000
Pd 0.500 0.000 0.000

Stability ranking, top entry: run i; the second entry is 61.8 kJ/mol of atoms less favorable.

Run i
A plane-wave DFT calculation with PBE was carried out for a relaxed Cd2SnPd8 crystal.

- space-group type = No. 71
- magnetic moment (μB per cell) = 0.00

a = 4.607 Å, b = 6.020 Å, c = 7.842 Å
α = 112.57°, β = 107.08°, γ = 90.00°
Positions (direct):
Cd 0.819 0.319 0.638
Cd 0.181 0.681 0.362
Sn 0.500 0.000 0.000
Pd 0.828 0.828 0.657
Pd 0.650 0.888 0.301
Pd 0.000 0.739 0.000
Pd 0.350 0.587 0.699
Pd 0.172 0.172 0.343
Pd 0.000 0.261 0.000
Pd 0.650 0.413 0.301
Pd 0.350 0.112 0.699

Run ii
A plane-wave DFT calculation with PBE was carried out for a relaxed Cd2SnPd8 crystal.

- space-group type = No. 12
- magnetic moment (μB per cell) = 0.00

a = 4.143 Å, b = 6.276 Å, c = 7.507 Å
α = 104.17°, β = 106.02°, γ = 90.00°
Positions (direct):
Pd 0.041 0.727 0.082
Pd 0.139 0.182 0.278
Pd 0.590 0.452 0.181
Pd 0.959 0.273 0.918
Pd 0.322 0.090 0.644
Pd 0.678 0.910 0.356
Pd 0.410 0.548 0.819
Pd 0.861 0.818 0.722
Cd 0.777 0.354 0.554
Cd 0.223 0.646 0.446
Sn 0.500 0.000 0.000

Stability ranking, top entry: run ii; the second entry is 6.5 kJ/mol of atoms less favorable.

Run i
A plane-wave DFT calculation with PBE was carried out for a relaxed CdSnPd6 crystal.

- space-group type = No. 123
- magnetic moment (μB per cell) = 0.00

a = 4.043 Å, b = 5.697 Å, c = 5.697 Å
α = 90.02°, β = 90.00°, γ = 90.00°
Positions (direct):
Pd 0.000 0.747 0.747
Pd 0.500 0.500 0.000
Pd 0.000 0.253 0.253
Pd 0.500 0.000 0.500
Pd 0.000 0.252 0.748
Pd 0.000 0.748 0.252
Sn 0.500 0.500 0.500
Cd 0.500 0.000 0.000

Run ii
A plane-wave DFT calculation with PBE was carried out for a relaxed CdSnPd6 crystal.

- space-group type = No. 2
- magnetic moment (μB per cell) = 0.00

a = 6.989 Å, b = 7.617 Å, c = 5.186 Å
α = 42.82°, β = 47.21°, γ = 57.15°
Positions (direct):
Pd 0.054 0.547 0.149
Pd 0.750 0.942 0.759
Pd 0.547 0.750 0.648
Pd 0.250 0.058 0.241
Pd 0.946 0.453 0.851
Pd 0.453 0.250 0.352
Cd 0.000 0.000 0.000
Sn 0.500 0.500 0.500

Stability ranking, top entry: run i; the second entry is 10.3 kJ/mol of atoms less favorable.